[1]
{
  "formula": "MnSnPS2",
  "functional": "PBE",
  "state": "optimized geometry",
  "cell": [[-3.0805, 3.8985, 0.2754], [-3.8755, -3.0924, 0.4262], [0.5093, 0.0498, 4.9921]],
  "species": ["Sn", "S", "S", "P", "Mn"],
  "fractional_positions": [[0.0000, 0.0000, 0.0000], [0.5000, 0.0000, 0.0000], [0.0000, 0.5000, 0.0000], [0.0000, 0.0000, 0.5000], [0.5000, 0.5000, 0.5000]],
  "m_tot_mub_per_fu": 4.64,
  "de_polymorph_ev_per_fu": 3.48,
  "mass_density_g_cm3": 3.59
}

=====

[2]
{
  "formula": "BaCdBiOs2",
  "functional": "PBE",
  "state": "optimized geometry",
  "cell": [[-3.7962, 2.8094, -1.8132], [-3.7183, -4.1177, 1.4047], [-0.6150, 2.1097, 4.5566]],
  "species": ["Os", "Os", "Ba", "Cd", "Bi"],
  "fractional_positions": [[0.5000, 0.0000, 0.0000], [0.0000, 0.0000, 0.5000], [0.0000, 0.5000, 0.0000], [0.0000, 0.0000, 0.0000], [0.5000, 0.5000, 0.5000]],
  "m_tot_mub_per_fu": 2.06,
  "mass_density_g_cm3": 9.51,
  "formation_energy_ev_per_atom": 1.817
}

=====

[3]
{
  "formula": "MgCdFe2Tc",
  "functional": "PBE",
  "state": "optimized geometry",
  "cell": [[-2.2879, 1.2063, 3.6395], [-2.9010, -3.5718, -0.6398], [2.6320, -2.5877, 2.5123]],
  "species": ["Fe", "Fe", "Tc", "Mg", "Cd"],
  "fractional_positions": [[0.5000, 0.0000, 0.0000], [0.0000, 0.0000, 0.5000], [0.0000, 0.5000, 0.0000], [0.0000, 0.0000, 0.0000], [0.5000, 0.5000, 0.5000]],
  "m_tot_mub_per_fu": 6.97,
  "mass_density_g_cm3": 6.21,
  "formation_energy_ev_per_atom": 1.493
}

=====

[4]
{
  "formula": "CaCrP2",
  "functional": "PBE",
  "state": "optimized geometry",
  "cell": [[-2.8751, 6.2987, 4.5174], [-2.4061, 4.1391, 6.7399], [-0.0236, 5.9265, 5.7639]],
  "species": ["P", "P", "Cr", "Ca"],
  "fractional_positions": [[0.0042, 0.0042, 0.0042], [0.2640, 0.2640, 0.2640], [0.7307, 0.7307, 0.7307], [0.5011, 0.5011, 0.5011]],
  "m_tot_mub_per_fu": 0.80,
  "de_polymorph_ev_per_fu": 3.96,
  "mass_density_g_cm3": 3.73,
  "formation_energy_ev_per_atom": 0.357
}